First-principles (PBE with a Hubbard U) data for crystalline Mn2TlBiO8 at its relaxed geometry, as listed in Alexandria via LeMat-Bulk.

a b c (Å): 5.882 5.882 7.505
angles (deg): 90.00 90.00 120.00
Positions (direct):
Mn: 0.667 0.333 0.140
Mn: 0.333 0.667 0.860
Tl: 0.000 0.000 0.500
Bi: 0.000 0.000 0.000
O: 0.333 0.667 0.077
O: 0.348 0.174 0.208
O: 0.826 0.174 0.208
O: 0.667 0.333 0.923
O: 0.174 0.826 0.792
O: 0.652 0.826 0.792
O: 0.174 0.348 0.792
O: 0.826 0.652 0.208

Values from the calculation:
Volume: 224.8 Å³/f.u.
Electronic total energy: -5.84 eV per atom